This record from Alexandria via LeMat-Bulk describes Y2InPt at its PBEsol-relaxed geometry. The functional is meta-GGA SCAN.

a b c (Å): 3.7872 4.4798 5.9007
angles (deg): 90.00 108.72 90.00
With the nearest neighbours (Å) after each atom.
Atoms (fractional coordinates):
Y 0.9836 0.0000 0.9672  4 Pt 3.00, 3 In 3.09-3.14
Pt 0.5414 0.5000 0.0828  2 In 2.87, 5 Y 2.93-3.00
Y 0.2788 0.5000 0.5576  3 Pt 2.93-3.26, 4 In 3.06
In 0.7023 0.0000 0.4047  2 Pt 2.87, 7 Y 3.06-3.14

DOS at the Fermi energy: 0.76 states/eV per atom

---

This record from Alexandria via LeMat-Bulk describes Y2InPt at its PBEsol-relaxed geometry. The functional is meta-GGA SCAN.

a b c (Å): 3.5331 3.5331 7.3629
angles (deg): 90.00 90.00 90.00
With the nearest neighbours (Å) after each atom.
Atoms (fractional coordinates):
In 0.5000 0.5000 0.5000  8 Y 3.23, 4 In 3.53
Y 0.0000 0.0000 0.7780  4 Pt 2.99, 4 In 3.23, 1 Y 3.27
Y 0.0000 0.0000 0.2220  4 Pt 2.99, 4 In 3.23, 1 Y 3.27
Pt 0.5000 0.5000 0.0000  8 Y 2.99

DOS at the Fermi energy: 0.59 states/eV per atom

---

This record from Alexandria via LeMat-Bulk describes Y2InPt at its PBEsol-relaxed geometry. The functional is meta-GGA SCAN.

a b c (Å): 4.9341 4.9341 4.9341
angles (deg): 60.00 60.00 60.00
With the nearest neighbours (Å) after each atom.
Atoms (fractional coordinates):
In 0.5000 0.5000 0.5000  4 Pt 3.02, 4 Y 3.02
Y 0.7500 0.7500 0.7500  4 In 3.02, 4 Y 3.02
Y 0.0000 0.0000 0.0000  4 Pt 3.02, 4 Y 3.02
Pt 0.2500 0.2500 0.2500  4 In 3.02, 4 Y 3.02

DOS at the Fermi energy: 0.79 states/eV per atom

---

This record from Alexandria via LeMat-Bulk describes Zn2InPt2 at its PBEsol-relaxed geometry. The functional is meta-GGA SCAN.

a b c (Å): 2.8988 7.4007 7.4007
angles (deg): 90.00 90.00 90.00
With the nearest neighbours (Å) after each atom.
Atoms (fractional coordinates):
Pt 0.0000 0.1472 0.3528  6 Zn 2.58-2.62, 2 In 2.83
In 0.0000 0.0000 0.0000  4 Pt 2.83, 2 In 2.90
Zn 0.5000 0.1485 0.6485  6 Pt 2.58-2.62
Zn 0.5000 0.3515 0.1485  6 Pt 2.58-2.62
Pt 0.0000 0.3528 0.8528  6 Zn 2.58-2.62, 2 In 2.83
Zn 0.5000 0.8515 0.3515  6 Pt 2.58-2.62
In 0.0000 0.5000 0.5000  4 Pt 2.83, 2 In 2.90
Pt 0.0000 0.8528 0.6472  6 Zn 2.58-2.62, 2 In 2.83
Zn 0.5000 0.6485 0.8515  6 Pt 2.58-2.62
Pt 0.0000 0.6472 0.1472  6 Zn 2.58-2.62, 2 In 2.83

DOS at the Fermi energy: 0.19 states/eV per atom

---

This record from Alexandria via LeMat-Bulk describes ZnIn2Pt at its PBEsol-relaxed geometry. The functional is meta-GGA SCAN.

a b c (Å): 3.6365 4.5734 4.5734
angles (deg): 105.79 90.00 90.00
With the nearest neighbours (Å) after each atom.
Atoms (fractional coordinates):
In 0.0000 0.5000 0.0000  2 In 2.76, 4 Pt 2.92, 4 Zn 2.92
Pt 0.5000 0.0000 0.0000  2 Zn 2.76, 8 In 2.92
Zn 0.5000 0.5000 0.5000  2 Pt 2.76, 8 In 2.92
In 0.0000 0.0000 0.5000  2 In 2.76, 4 Zn 2.92, 4 Pt 2.92

DOS at the Fermi energy: 0.34 states/eV per atom

---

This record from Alexandria via LeMat-Bulk describes ZnIn2Pt at its PBEsol-relaxed geometry. The functional is meta-GGA SCAN.

a b c (Å): 3.5082 3.6981 5.5835
angles (deg): 90.00 90.03 90.00
With the nearest neighbours (Å) after each atom.
Atoms (fractional coordinates):
Pt 0.5000 0.5000 0.0000  2 Zn 2.79, 8 In 2.90
In 0.0000 0.0000 0.7530  2 In 2.76-2.83, 4 Pt 2.90, 4 Zn 2.91
In 0.0000 0.0000 0.2470  2 In 2.76-2.83, 4 Pt 2.90, 4 Zn 2.91
Zn 0.5000 0.5000 0.5000  2 Pt 2.79, 8 In 2.91

DOS at the Fermi energy: 0.29 states/eV per atom

---

This record from Alexandria via LeMat-Bulk describes ZnIn2Pt at its PBEsol-relaxed geometry. The functional is meta-GGA SCAN.

a b c (Å): 2.9331 3.5619 7.3280
angles (deg): 90.00 90.00 90.00
With the nearest neighbours (Å) after each atom.
Atoms (fractional coordinates):
In 0.5000 0.5000 0.2970  4 Pt 2.90, 2 In 2.93, 1 Zn 2.98
Pt 0.0000 0.0000 0.5356  4 Zn 2.61, 4 In 2.90
Zn 0.5000 0.5000 0.7036  4 Pt 2.61
In 0.0000 0.0000 0.9638  2 In 2.93, 4 Zn 2.99, 1 Pt 3.14

DOS at the Fermi energy: 0.41 states/eV per atom

---

This record from Alexandria via LeMat-Bulk describes ZnIn2Pt at its PBEsol-relaxed geometry. The functional is meta-GGA SCAN.

a b c (Å): 3.6031 4.1521 5.3273
angles (deg): 90.00 109.77 90.00
With the nearest neighbours (Å) after each atom.
Atoms (fractional coordinates):
Zn 0.5450 0.5000 0.0900  2 Pt 2.57, 5 In 2.72-2.84
In 0.9722 0.0000 0.9444  3 Pt 2.77-2.88, 4 Zn 2.84
In 0.2738 0.5000 0.5476  3 Zn 2.72-2.92, 4 Pt 2.86
Pt 0.6959 0.0000 0.3919  2 Zn 2.57, 7 In 2.77-2.88

DOS at the Fermi energy: 0.31 states/eV per atom

---

This record from Alexandria via LeMat-Bulk describes ZrInPt2 at its PBEsol-relaxed geometry. The functional is meta-GGA SCAN.

a b c (Å): 3.3855 3.3855 6.3056
angles (deg): 90.00 90.00 90.00
With the nearest neighbours (Å) after each atom.
Atoms (fractional coordinates):
Pt 0.0000 0.0000 0.7673  4 Zr 2.81, 4 In 2.93, 1 Pt 2.93
In 0.5000 0.5000 0.5000  8 Pt 2.93, 2 Zr 3.15
Pt 0.0000 0.0000 0.2327  4 Zr 2.81, 4 In 2.93, 1 Pt 2.93
Zr 0.5000 0.5000 0.0000  8 Pt 2.81

DOS at the Fermi energy: 0.46 states/eV per atom

---

This record from Alexandria via LeMat-Bulk describes ZrIn3Pt at its PBEsol-relaxed geometry. The functional is meta-GGA SCAN.

a b c (Å): 5.3456 5.3456 5.3456
angles (deg): 90.00 90.00 90.00
With the nearest neighbours (Å) after each atom.
Atoms (fractional coordinates):
In 0.0000 0.5000 0.0000  2 Zr 2.67
In 0.5000 0.0000 0.0000  2 Zr 2.67
Zr 0.0000 0.0000 0.0000  6 In 2.67
Pt 0.5000 0.5000 0.5000  12 In 3.78
In 0.0000 0.0000 0.5000  2 Zr 2.67

DOS at the Fermi energy: 0.89 states/eV per atom

---

This record from Alexandria via LeMat-Bulk describes Zr4InPt at its PBEsol-relaxed geometry. The functional is meta-GGA SCAN.

a b c (Å): 5.5492 5.5492 5.5492
angles (deg): 60.00 60.00 60.00
With the nearest neighbours (Å) after each atom.
Atoms (fractional coordinates):
Zr 0.3750 0.3750 0.8751  6 Zr 2.77-2.78
Zr 0.3750 0.3750 0.3750  6 Zr 2.77-2.78
Pt 0.0000 0.0000 0.0000  12 Zr 3.25, 4 In 3.40
Zr 0.8751 0.3750 0.3750  6 Zr 2.77-2.78
Zr 0.3750 0.8751 0.3750  6 Zr 2.77-2.78
In 0.7500 0.7500 0.7500  12 Zr 3.25, 4 Pt 3.40

DOS at the Fermi energy: 0.74 states/eV per atom

---

This record from Alexandria via LeMat-Bulk describes PuIn3 at its PBEsol-relaxed geometry. The functional is meta-GGA SCAN.

a b c (Å): 4.5543 4.5543 4.5543
angles (deg): 90.00 90.00 90.00
With the nearest neighbours (Å) after each atom.
Atoms (fractional coordinates):
In 0.0000 0.5000 0.5000  8 In 3.22, 4 Pu 3.22
In 0.5000 0.5000 0.0000  8 In 3.22, 4 Pu 3.22
In 0.5000 0.0000 0.5000  4 Pu 3.22, 8 In 3.22
Pu 0.0000 0.0000 0.0000  12 In 3.22

DOS at the Fermi energy: 2.68 states/eV per atom

---

The records above give, respectively, ΔH_f (0 K) values of -97 -103 -61 -46 -14 -17 -17 -30 -88 114 5 -17 kJ per mole of atoms.